# 1
MnTcGeMo after structural relaxation. Source: the Alexandria database, functional PBE.

The structure in CIF format:
```
data_MnTcGeMo
_chemical_formula_sum 'Mn1 Tc1 Ge1 Mo1'
_cell_length_a 4.275
_cell_length_b 4.275
_cell_length_c 4.275
_cell_angle_alpha 60.00
_cell_angle_beta 60.00
_cell_angle_gamma 60.00
_space_group_name_H-M_alt 'P 1'
_space_group_IT_number 1
loop_
_space_group_symop_operation_xyz
'x,y,z'
loop_
_atom_site_label
_atom_site_type_symbol
_atom_site_fract_x
_atom_site_fract_y
_atom_site_fract_z
Mo1 Mo 0.750 0.750 0.750
Mn1 Mn 0.000 0.000 0.000
Ge1 Ge 0.250 0.250 0.250
Tc1 Tc 0.500 0.500 0.500
```

Calculated values
**VASP energy**: -8.76 eV/atom
**Space-group type**: F-43m, No. 216
**Formation energy from the elements**: -1.2 kJ per mole of atoms

=====

# 2
LaMg3Cu8 after structural relaxation. Source: the Alexandria database, functional PBE.

The structure in CIF format:
```
data_LaMg3Cu8
_chemical_formula_sum 'La1 Mg3 Cu8'
_cell_length_a 5.079
_cell_length_b 5.079
_cell_length_c 8.918
_cell_angle_alpha 73.45
_cell_angle_beta 73.45
_cell_angle_gamma 60.00
_space_group_name_H-M_alt 'P 1'
_space_group_IT_number 1
loop_
_space_group_symop_operation_xyz
'x,y,z'
loop_
_atom_site_label
_atom_site_type_symbol
_atom_site_fract_x
_atom_site_fract_y
_atom_site_fract_z
La1 La 0.877 0.877 0.370
Mg1 Mg 0.372 0.372 0.884
Mg2 Mg 0.006 0.006 0.982
Mg3 Mg 0.489 0.489 0.534
Cu1 Cu 0.943 0.441 0.174
Cu2 Cu 0.432 0.937 0.694
Cu3 Cu 0.441 0.441 0.174
Cu4 Cu 0.937 0.937 0.694
Cu5 Cu 0.186 0.186 0.441
Cu6 Cu 0.689 0.689 0.934
Cu7 Cu 0.441 0.943 0.174
Cu8 Cu 0.937 0.432 0.694
```

Calculated values
**VASP energy**: -3.69 eV/atom
**Space-group type**: R3m, No. 160
**Formation energy from the elements**: -14.1 kJ per mole of atoms

=====

# 3
Mg2Ti3Zn2 after structural relaxation. Source: the Alexandria database, functional PBE.

The structure in CIF format:
```
data_Mg2Ti3Zn2
_chemical_formula_sum 'Mg2 Ti3 Zn2'
_cell_length_a 3.132
_cell_length_b 3.212
_cell_length_c 12.779
_cell_angle_alpha 90.00
_cell_angle_beta 97.04
_cell_angle_gamma 90.00
_space_group_name_H-M_alt 'P 1'
_space_group_IT_number 1
loop_
_space_group_symop_operation_xyz
'x,y,z'
loop_
_atom_site_label
_atom_site_type_symbol
_atom_site_fract_x
_atom_site_fract_y
_atom_site_fract_z
Mg1 Mg 0.302 0.500 0.605
Mg2 Mg 0.698 0.500 0.395
Ti1 Ti 0.433 0.500 0.867
Ti2 Ti 0.567 0.500 0.133
Ti3 Ti 0.000 0.000 0.000
Zn1 Zn 0.128 0.000 0.257
Zn2 Zn 0.872 0.000 0.743
```

Calculated values
**VASP energy**: -4.23 eV/atom
**Space-group type**: Cmmm, No. 65
**Formation energy from the elements**: -2.8 kJ per mole of atoms

=====

# 4
Th4P2Se5 after structural relaxation. Source: the Alexandria database, functional PBE.

The structure in CIF format:
```
data_Th4P2Se5
_chemical_formula_sum 'Th4 P2 Se5'
_cell_length_a 4.171
_cell_length_b 8.020
_cell_length_c 11.060
_cell_angle_alpha 111.26
_cell_angle_beta 100.87
_cell_angle_gamma 90.00
_space_group_name_H-M_alt 'P 1'
_space_group_IT_number 1
loop_
_space_group_symop_operation_xyz
'x,y,z'
loop_
_atom_site_label
_atom_site_type_symbol
_atom_site_fract_x
_atom_site_fract_y
_atom_site_fract_z
Th1 Th 0.648 0.648 0.296
Th2 Th 0.000 0.259 0.000
Th3 Th 0.352 0.352 0.704
Th4 Th 0.000 0.741 0.000
P1 P 0.781 0.781 0.563
P2 P 0.219 0.219 0.437
Se1 Se 0.144 0.382 0.288
Se2 Se 0.856 0.618 0.712
Se3 Se 0.144 0.906 0.288
Se4 Se 0.500 0.000 0.000
Se5 Se 0.856 0.094 0.712
```

Calculated values
**VASP energy**: -5.95 eV/atom
**Space-group type**: Immm, No. 71
**Formation energy (no corrections)**: -689 meV/atom

=====

# 5
MnCd2Te after structural relaxation. Source: the Alexandria database, functional PBE.

The structure in CIF format:
```
data_MnCd2Te
_chemical_formula_sum 'Mn1 Cd2 Te1'
_cell_length_a 6.912
_cell_length_b 6.912
_cell_length_c 6.912
_cell_angle_alpha 152.26
_cell_angle_beta 141.17
_cell_angle_gamma 48.39
_space_group_name_H-M_alt 'P 1'
_space_group_IT_number 1
loop_
_space_group_symop_operation_xyz
'x,y,z'
loop_
_atom_site_label
_atom_site_type_symbol
_atom_site_fract_x
_atom_site_fract_y
_atom_site_fract_z
Cd1 Cd 0.014 0.014 0.000
Cd2 Cd 0.678 0.178 0.500
Mn1 Mn 0.488 0.488 0.000
Te1 Te 0.320 0.820 0.500
```

Calculated values
**VASP energy**: -3.41 eV/atom
**Space-group type**: Imm2, No. 44
**Formation energy (no corrections)**: 127 meV/atom

=====

# 6
CaTc2Rh after structural relaxation. Source: the Alexandria database, functional PBE.

The structure in CIF format:
```
data_CaTc2Rh
_chemical_formula_sum 'Ca1 Tc2 Rh1'
_cell_length_a 4.268
_cell_length_b 2.860
_cell_length_c 5.925
_cell_angle_alpha 76.10
_cell_angle_beta 90.00
_cell_angle_gamma 90.00
_space_group_name_H-M_alt 'P 1'
_space_group_IT_number 1
loop_
_space_group_symop_operation_xyz
'x,y,z'
loop_
_atom_site_label
_atom_site_type_symbol
_atom_site_fract_x
_atom_site_fract_y
_atom_site_fract_z
Ca1 Ca 0.000 0.437 0.501
Rh1 Rh 0.500 0.790 0.797
Tc1 Tc 0.000 0.190 0.003
Tc2 Tc 0.500 0.084 0.198
```

Calculated values
**VASP energy**: -7.27 eV/atom
**Space-group type**: Pm, No. 6
**ΔE to the lowest computed polymorph**: 0.0771 eV per atom
**Formation energy from the elements**: 23.9 kJ per mole of atoms